(1)
# Ca2Cd | Alexandria | SCAN | PBEsol geometry
data_Ca2Cd
_space_group_name_H-M_alt 'P 1'
_space_group_IT_number 1
_space_group_name_Hall 'P 1'
_cell_length_a 6.3430
_cell_length_b 6.3430
_cell_length_c 6.3430
_cell_angle_alpha 105.33
_cell_angle_beta 105.33
_cell_angle_gamma 118.12
loop_
_atom_site_label
_atom_site_fract_x
_atom_site_fract_y
_atom_site_fract_z
Ca1 0.3302 0.8302 0.1605
Ca2 0.6698 0.1698 0.8395
Ca3 0.8302 0.6698 0.5000
Ca4 0.1698 0.3302 0.5000
Cd1 0.2500 0.2500 0.0000
Cd2 0.7500 0.7500 0.0000
# Calculated formation energy in eV/atom: -0.294
# Symmetry: I4/mcm, No. 140
# Total magnetic moment in μB/f.u.: 0.1
# DFT total energy in eV per cell: -101.2



(2)
# Ca3Cd2 | Alexandria | SCAN | PBEsol geometry
data_Ca3Cd2
_space_group_name_H-M_alt 'P 1'
_space_group_IT_number 1
_space_group_name_Hall 'P 1'
_cell_length_a 7.8228
_cell_length_b 8.7041
_cell_length_c 8.7041
_cell_angle_alpha 90.00
_cell_angle_beta 90.00
_cell_angle_gamma 90.00
loop_
_atom_site_label
_atom_site_fract_x
_atom_site_fract_y
_atom_site_fract_z
Ca1 0.0000 0.1450 0.1450
Ca2 0.0000 0.8550 0.8550
Ca3 0.5000 0.3550 0.6450
Ca4 0.5000 0.6450 0.3550
Ca5 0.5000 0.2003 0.2003
Ca6 0.5000 0.7997 0.7997
Ca7 0.0000 0.2997 0.7003
Ca8 0.0000 0.7003 0.2997
Ca9 0.2500 0.0000 0.5000
Ca10 0.7500 0.0000 0.5000
Ca11 0.7500 0.5000 0.0000
Ca12 0.2500 0.5000 0.0000
Cd1 0.8070 0.3767 0.3767
Cd2 0.8070 0.6233 0.6233
Cd3 0.3070 0.1233 0.8767
Cd4 0.3070 0.8767 0.1233
Cd5 0.1930 0.3767 0.3767
Cd6 0.1930 0.6233 0.6233
Cd7 0.6930 0.1233 0.8767
Cd8 0.6930 0.8767 0.1233
# Calculated formation energy in eV/atom: -0.363
# Symmetry: P4_2/mnm, No. 136
# Total magnetic moment in μB/f.u.: 0.0
# DFT total energy in eV per cell: -366.5



(3)
# Ca2Cd | Alexandria | SCAN | PBEsol geometry
data_Ca2Cd
_space_group_name_H-M_alt 'P 1'
_space_group_IT_number 1
_space_group_name_Hall 'P 1'
_cell_length_a 5.2197
_cell_length_b 7.1431
_cell_length_c 9.9295
_cell_angle_alpha 90.00
_cell_angle_beta 90.00
_cell_angle_gamma 90.00
loop_
_atom_site_label
_atom_site_fract_x
_atom_site_fract_y
_atom_site_fract_z
Ca1 0.7500 0.4645 0.6969
Ca2 0.2500 0.0355 0.1969
Ca3 0.7500 0.9645 0.8031
Ca4 0.2500 0.5355 0.3031
Ca5 0.7500 0.3336 0.0663
Ca6 0.2500 0.1664 0.5663
Ca7 0.7500 0.8336 0.4337
Ca8 0.2500 0.6664 0.9337
Cd1 0.7500 0.7795 0.1126
Cd2 0.2500 0.7205 0.6126
Cd3 0.7500 0.2795 0.3874
Cd4 0.2500 0.2205 0.8874
# Calculated formation energy in eV/atom: -0.309
# Symmetry: Pnma, No. 62
# Total magnetic moment in μB/f.u.: 0.0
# DFT total energy in eV per cell: -202.7



(4)
# Ca2Cd | Alexandria | SCAN | PBEsol geometry
data_Ca2Cd
_space_group_name_H-M_alt 'P 1'
_space_group_IT_number 1
_space_group_name_Hall 'P 1'
_cell_length_a 3.8159
_cell_length_b 5.5937
_cell_length_c 8.9547
_cell_angle_alpha 90.00
_cell_angle_beta 102.30
_cell_angle_gamma 90.00
loop_
_atom_site_label
_atom_site_fract_x
_atom_site_fract_y
_atom_site_fract_z
Ca1 0.7174 0.7500 0.4348
Ca2 0.4226 0.7500 0.8452
Ca3 0.2826 0.2500 0.5652
Ca4 0.5774 0.2500 0.1548
Cd1 0.0719 0.7500 0.1438
Cd2 0.9281 0.2500 0.8562
# Calculated formation energy in eV/atom: -0.256
# Symmetry: Cmcm, No. 63
# Total magnetic moment in μB/f.u.: 0.2
# DFT total energy in eV per cell: -101.0



(5)
# Ca5Cd | Alexandria | SCAN | PBEsol geometry
data_Ca5Cd
_space_group_name_H-M_alt 'P 1'
_space_group_IT_number 1
_space_group_name_Hall 'P 1'
_cell_length_a 5.1940
_cell_length_b 5.3774
_cell_length_c 7.9120
_cell_angle_alpha 90.00
_cell_angle_beta 109.16
_cell_angle_gamma 90.00
loop_
_atom_site_label
_atom_site_fract_x
_atom_site_fract_y
_atom_site_fract_z
Ca1 0.3405 0.5000 0.6810
Ca2 0.1522 0.0000 0.3044
Ca3 0.0000 0.5000 0.0000
Ca4 0.8478 0.0000 0.6956
Ca5 0.6595 0.5000 0.3190
Cd1 0.5000 0.0000 0.0000
# Calculated formation energy in eV/atom: -0.073
# Energy relative to the lowest polymorph listed for this composition in meV/atom: 48
# Symmetry: Cmmm, No. 65
# Total magnetic moment in μB/f.u.: 0.2
# DFT total energy in eV per cell: -79.2



(6)
# CaCd3 | Alexandria | SCAN | PBEsol geometry
data_CaCd3
_space_group_name_H-M_alt 'P 1'
_space_group_IT_number 1
_space_group_name_Hall 'P 1'
_cell_length_a 4.9293
_cell_length_b 6.4791
_cell_length_c 6.4791
_cell_angle_alpha 116.08
_cell_angle_beta 90.00
_cell_angle_gamma 90.00
loop_
_atom_site_label
_atom_site_fract_x
_atom_site_fract_y
_atom_site_fract_z
Ca1 0.7500 0.6470 0.3530
Ca2 0.2500 0.3530 0.6470
Cd1 0.7500 0.1700 0.8300
Cd2 0.2500 0.8300 0.1700
Cd3 0.7500 0.6937 0.8678
Cd4 0.2500 0.3063 0.1322
Cd5 0.2500 0.8678 0.6937
Cd6 0.7500 0.1322 0.3063
# Calculated formation energy in eV/atom: -0.311
# Symmetry: Cmcm, No. 63
# Total magnetic moment in μB/f.u.: 0.0
# DFT total energy in eV per cell: -204.3



(7)
# CaCd3 | Alexandria | SCAN | PBEsol geometry
data_CaCd3
_space_group_name_H-M_alt 'P 1'
_space_group_IT_number 1
_space_group_name_Hall 'P 1'
_cell_length_a 4.5441
_cell_length_b 4.5441
_cell_length_c 4.5441
_cell_angle_alpha 90.00
_cell_angle_beta 90.00
_cell_angle_gamma 90.00
loop_
_atom_site_label
_atom_site_fract_x
_atom_site_fract_y
_atom_site_fract_z
Ca1 0.0000 0.0000 0.0000
Cd1 0.0000 0.5000 0.5000
Cd2 0.5000 0.0000 0.5000
Cd3 0.5000 0.5000 0.0000
# Calculated formation energy in eV/atom: -0.257
# Symmetry: Pm-3m, No. 221
# Total magnetic moment in μB/f.u.: 0.0
# DFT total energy in eV per cell: -101.9



(8)
# Ca2Cd | Alexandria | SCAN | PBEsol geometry
data_Ca2Cd
_space_group_name_H-M_alt 'P 1'
_space_group_IT_number 1
_space_group_name_Hall 'P 1'
_cell_length_a 3.9975
_cell_length_b 7.1246
_cell_length_c 7.2704
_cell_angle_alpha 90.03
_cell_angle_beta 90.01
_cell_angle_gamma 106.28
loop_
_atom_site_label
_atom_site_fract_x
_atom_site_fract_y
_atom_site_fract_z
Ca1 0.9311 0.8625 0.0749
Ca2 0.3469 0.6932 0.5756
Ca3 0.6617 0.3234 0.2714
Ca4 0.6161 0.2323 0.7712
Cd1 0.0218 0.0432 0.4867
Cd2 0.2558 0.5121 0.9869
# Calculated formation energy in eV/atom: -0.245
# Symmetry: Cmc2_1, No. 36
# Total magnetic moment in μB/f.u.: 0.0
# DFT total energy in eV per cell: -101.0



(9)
# Ca2Cd | Alexandria | SCAN | PBEsol geometry
data_Ca2Cd
_space_group_name_H-M_alt 'P 1'
_space_group_IT_number 1
_space_group_name_Hall 'P 1'
_cell_length_a 3.6660
_cell_length_b 3.6660
_cell_length_c 14.6428
_cell_angle_alpha 97.19
_cell_angle_beta 97.19
_cell_angle_gamma 90.00
loop_
_atom_site_label
_atom_site_fract_x
_atom_site_fract_y
_atom_site_fract_z
Ca1 0.8166 0.3166 0.6333
Ca2 0.4334 0.4334 0.8667
Ca3 0.6834 0.1834 0.3667
Ca4 0.5666 0.5666 0.1333
Cd1 0.2500 0.7500 0.5000
Cd2 0.0000 0.0000 0.0000
# Calculated formation energy in eV/atom: -0.223
# Symmetry: I4_1/amd, No. 141
# Total magnetic moment in μB/f.u.: 0.0
# DFT total energy in eV per cell: -100.8



(10)
# Ca4Cd5 | Alexandria | SCAN | PBEsol geometry
data_Ca4Cd5
_space_group_name_H-M_alt 'P 1'
_space_group_IT_number 1
_space_group_name_Hall 'P 1'
_cell_length_a 6.4386
_cell_length_b 9.2688
_cell_length_c 9.2688
_cell_angle_alpha 120.00
_cell_angle_beta 90.00
_cell_angle_gamma 90.00
loop_
_atom_site_label
_atom_site_fract_x
_atom_site_fract_y
_atom_site_fract_z
Ca1 0.0000 0.0000 0.0000
Ca2 0.5000 0.0000 0.0000
Ca3 0.7500 0.0000 0.3622
Ca4 0.7500 0.3622 0.0000
Ca5 0.7500 0.6378 0.6378
Ca6 0.2500 0.0000 0.6378
Ca7 0.2500 0.6378 0.0000
Ca8 0.2500 0.3622 0.3622
Cd1 0.7500 0.0000 0.6927
Cd2 0.7500 0.6927 0.0000
Cd3 0.7500 0.3073 0.3073
Cd4 0.2500 0.0000 0.3073
Cd5 0.2500 0.3073 0.0000
Cd6 0.2500 0.6927 0.6927
Cd7 0.0000 0.3333 0.6667
Cd8 0.5000 0.6667 0.3333
Cd9 0.0000 0.6667 0.3333
Cd10 0.5000 0.3333 0.6667
# Calculated formation energy in eV/atom: -0.293
# Symmetry: P6_3/mcm, No. 193
# Total magnetic moment in μB/f.u.: 0.0
# DFT total energy in eV per cell: -386.7



(11)
# Ca5Cd24 | Alexandria | SCAN | PBEsol geometry
data_Ca5Cd24
_space_group_name_H-M_alt 'P 1'
_space_group_IT_number 1
_space_group_name_Hall 'P 1'
_cell_length_a 9.4302
_cell_length_b 9.4302
_cell_length_c 9.4302
_cell_angle_alpha 109.47
_cell_angle_beta 109.47
_cell_angle_gamma 109.47
loop_
_atom_site_label
_atom_site_fract_x
_atom_site_fract_y
_atom_site_fract_z
Ca1 0.3758 0.3758 0.3758
Ca2 0.0000 0.6242 0.0000
Ca3 0.0000 0.0000 0.6242
Ca4 0.6242 0.0000 0.0000
Ca5 0.0000 0.0000 0.0000
Cd1 0.6287 0.8200 0.6287
Cd2 0.8087 0.1800 0.8087
Cd3 0.1913 0.0000 0.3713
Cd4 0.3713 0.0000 0.1913
Cd5 0.8200 0.6287 0.6287
Cd6 0.1800 0.8087 0.8087
Cd7 0.0000 0.3713 0.1913
Cd8 0.0000 0.1913 0.3713
Cd9 0.6287 0.6287 0.8200
Cd10 0.8087 0.8087 0.1800
Cd11 0.3713 0.1913 0.0000
Cd12 0.1913 0.3713 0.0000
Cd13 0.6133 0.2880 0.6133
Cd14 0.3253 0.7120 0.3253
Cd15 0.6747 0.0000 0.3867
Cd16 0.3867 0.0000 0.6747
Cd17 0.2880 0.6133 0.6133
Cd18 0.7120 0.3253 0.3253
Cd19 0.0000 0.3867 0.6747
Cd20 0.0000 0.6747 0.3867
Cd21 0.6133 0.6133 0.2880
Cd22 0.3253 0.3253 0.7120
Cd23 0.3867 0.6747 0.0000
Cd24 0.6747 0.3867 0.0000
# Calculated formation energy in eV/atom: -0.235
# Symmetry: I-43m, No. 217
# Total magnetic moment in μB/f.u.: 0.0
# DFT total energy in eV per cell: -785.1



(12)
# Ca2Cd | Alexandria | SCAN | PBEsol geometry
data_Ca2Cd
_space_group_name_H-M_alt 'P 1'
_space_group_IT_number 1
_space_group_name_Hall 'P 1'
_cell_length_a 4.0164
_cell_length_b 6.6445
_cell_length_c 8.0272
_cell_angle_alpha 75.37
_cell_angle_beta 75.51
_cell_angle_gamma 72.41
loop_
_atom_site_label
_atom_site_fract_x
_atom_site_fract_y
_atom_site_fract_z
Ca1 0.0916 0.1826 0.6343
Ca2 0.3369 0.2616 0.0645
Ca3 0.6631 0.7384 0.9355
Ca4 0.9084 0.8174 0.3657
Cd1 0.6264 0.4170 0.3302
Cd2 0.3736 0.5830 0.6698
# Calculated formation energy in eV/atom: -0.274
# Symmetry: C2/m, No. 12
# Total magnetic moment in μB/f.u.: 0.0
# DFT total energy in eV per cell: -101.1